A.
Sr2ZrCo: optimized geometry, PBE.

Magnetic moment: 2.30 μB per cell

Cell and atoms, written as POSCAR:
```
Sr2ZrCo
1.0
10.562 -0.058 -0.034
9.968 3.493 -0.034
9.968 1.668 3.070
Sr Co Zr
2 1 1
direct
0.485 0.485 0.485 Sr
0.015 0.015 0.015 Sr
0.750 0.750 0.750 Co
0.250 0.250 0.250 Zr
```



B.
Sr2ZrCo: optimized geometry, PBE.

Magnetic moment: 0.35 μB per cell

Cell and atoms, written as POSCAR:
```
Sr2ZrCo
1.0
-4.026 1.724 0.788
-0.408 -2.594 3.592
2.247 3.856 3.040
Zr Sr Co
1 2 1
direct
0.500 0.000 0.500 Zr
0.000 0.000 0.000 Sr
0.500 0.500 0.000 Sr
0.000 0.500 0.500 Co
```



Quick look at relative energies in meV per atom: A 0; B 46.



A.
CaZr2Br: optimized geometry, PBE.

Magnetic moment: 0.00 μB per cell

Cell and atoms, written as POSCAR:
```
CaZr2Br
1.0
3.314 0.005 0.000
-1.603 2.901 0.000
0.000 0.000 10.695
Ca Zr Br
1 2 1
direct
0.500 0.500 0.750 Ca
0.000 0.000 0.469 Zr
0.000 0.000 0.031 Zr
0.500 0.500 0.250 Br
```



B.
CaZr2Br: optimized geometry, PBE.

Magnetic moment: 0.00 μB per cell

Cell and atoms, written as POSCAR:
```
CaZr2Br
1.0
-0.706 -4.263 2.940
-2.099 0.431 4.767
-4.830 -1.783 0.900
Br Ca Zr
1 1 2
direct
0.500 0.500 0.500 Br
0.000 0.000 0.000 Ca
0.750 0.750 0.750 Zr
0.250 0.250 0.250 Zr
```



Quick look at relative energies in meV per atom: A 0; B 578.